[1]
VASP calculation (GGA-PBE) on a geometry-optimized U3Co9Si2Ge structure. Values from VASP.

```
&SYSTEM
  ibrav = 0, nat = 15, ntyp = 4
/
ATOMIC_SPECIES
U 238.03 U.upf
Co 58.93 Co.upf
Si 28.09 Si.upf
Ge 72.64 Ge.upf
CELL_PARAMETERS angstrom
5.025 0.000 0.000
-2.512 4.352 0.000
0.000 0.000 10.605
ATOMIC_POSITIONS crystal
U 0.000 0.000 0.000
U 0.333 0.667 0.731
U 0.667 0.333 0.269
Co 0.000 0.500 0.000
Co 0.166 0.332 0.326
Co 0.166 0.834 0.326
Co 0.332 0.166 0.674
Co 0.500 0.000 0.000
Co 0.500 0.500 0.000
Co 0.668 0.834 0.326
Co 0.834 0.166 0.674
Co 0.834 0.668 0.674
Si 0.333 0.667 0.163
Si 0.667 0.333 0.837
Ge 0.000 0.000 0.500
```

Calculated values
Uncorrected energy in eV/atom: -7.6660
Total magnetization in μB per formula unit: 0.90
SG: No. 164
ΔE_f (raw) in eV per atom: -0.11

---

[2]
VASP calculation (GGA-PBE) on a geometry-optimized U2Co4SiGe3 structure. Values from VASP.

```
&SYSTEM
  ibrav = 0, nat = 10, ntyp = 4
/
ATOMIC_SPECIES
U 238.03 U.upf
Co 58.93 Co.upf
Si 28.09 Si.upf
Ge 72.64 Ge.upf
CELL_PARAMETERS angstrom
4.017 0.000 0.000
0.000 4.017 0.000
0.000 0.000 9.424
ATOMIC_POSITIONS crystal
U 0.000 0.500 0.248
U 0.500 0.000 0.752
Co 0.000 0.000 0.000
Co 0.000 0.500 0.625
Co 0.500 0.000 0.375
Co 0.500 0.500 0.000
Si 0.000 0.000 0.500
Ge 0.000 0.500 0.867
Ge 0.500 0.000 0.133
Ge 0.500 0.500 0.500
```

Calculated values
Uncorrected energy in eV/atom: -7.4298
Total magnetization in μB per formula unit: 0.72
SG: No. 115
ΔE_f (raw) in eV per atom: -0.40

---

[3]
VASP calculation (GGA-PBE) on a geometry-optimized CoSiGeW2 structure. Values from VASP.

```
&SYSTEM
  ibrav = 0, nat = 5, ntyp = 4
/
ATOMIC_SPECIES
Co 58.93 Co.upf
Si 28.09 Si.upf
Ge 72.64 Ge.upf
W 183.84 W.upf
CELL_PARAMETERS angstrom
4.610 0.000 0.000
0.000 4.610 0.000
0.000 0.000 4.422
ATOMIC_POSITIONS crystal
Co 0.000 0.000 0.000
Si 0.500 0.500 0.000
Ge 0.500 0.500 0.500
W 0.000 0.500 0.500
W 0.500 0.000 0.500
```

Calculated values
Uncorrected energy in eV/atom: -6.5248
Total magnetization in μB per formula unit: 0.00
SG: No. 123
ΔE_f (raw) in eV per atom: 2.09

---

[4]
VASP calculation (GGA-PBE) on a geometry-optimized Zr2CoSiGe structure. Values from VASP.

```
&SYSTEM
  ibrav = 0, nat = 5, ntyp = 4
/
ATOMIC_SPECIES
Zr 91.22 Zr.upf
Co 58.93 Co.upf
Si 28.09 Si.upf
Ge 72.64 Ge.upf
CELL_PARAMETERS angstrom
4.984 0.000 0.000
0.000 4.984 0.000
0.000 0.000 4.354
ATOMIC_POSITIONS crystal
Zr 0.000 0.500 0.000
Zr 0.500 0.000 0.000
Co 0.000 0.000 0.500
Si 0.500 0.500 0.500
Ge 0.500 0.500 0.000
```

Calculated values
Uncorrected energy in eV/atom: -5.9301
Total magnetization in μB per formula unit: 0.03
SG: No. 123
ΔE_f (raw) in eV per atom: 0.92